Entry from Alexandria: TlCu2As at its PBEsol-relaxed geometry (SCAN).

Lattice parameters (Å, degrees): 3.6848 4.2290 4.2290 90.00 90.00 90.00
Last column: nearest neighbours and their distance in Å.
Sites, in units of the cell vectors:
As: 0.5000 0.0000 0.0000  8 Cu 2.80, 4 Tl 2.99
Cu: 0.0000 0.0000 0.5000  4 Tl 2.80, 4 As 2.80, 4 Cu 2.99
Cu: 0.0000 0.5000 0.0000  4 Tl 2.80, 4 As 2.80, 4 Cu 2.99
Tl: 0.5000 0.5000 0.5000  8 Cu 2.80, 4 As 2.99

Computed properties:
**Calculated density**: 10.24 g/cm³
**Total moment**: 0.00 μB/cell
**Formation energy**: 0.380 eV/atom
**Space-group type**: No. 123



Entry from Alexandria: TmCuAs2 at its PBEsol-relaxed geometry (SCAN).

Lattice parameters (Å, degrees): 3.8320 3.8320 9.5625 90.00 90.00 90.00
Last column: nearest neighbours and their distance in Å.
Sites, in units of the cell vectors:
As: 0.0000 0.0000 0.0000  4 As 2.71, 4 Tm 2.97
As: 0.5000 0.5000 0.0000  4 As 2.71, 4 Tm 2.97
As: 0.0000 0.5000 0.3356  4 Cu 2.48
As: 0.5000 0.0000 0.6644  4 Cu 2.48
Tm: 0.0000 0.5000 0.7620  8 As 2.87-2.97, 4 Cu 3.15
Tm: 0.5000 0.0000 0.2380  8 As 2.87-2.97, 4 Cu 3.15
Cu: 0.5000 0.5000 0.5000  4 As 2.48, 4 Cu 2.71
Cu: 0.0000 0.0000 0.5000  4 As 2.48, 4 Cu 2.71

Computed properties:
**Calculated density**: 9.04 g/cm³
**Total moment**: 0.00 μB/cell
**Formation energy**: -0.899 eV/atom
**Space-group type**: No. 129



Entry from Alexandria: CuAsW2 at its PBEsol-relaxed geometry (SCAN).

Lattice parameters (Å, degrees): 2.9276 4.4512 4.8170 106.37 107.69 90.00
Last column: nearest neighbours and their distance in Å.
Sites, in units of the cell vectors:
As: 0.5115 0.4668 0.0231  7 W 2.58-2.70, 2 Cu 2.60
Cu: 0.2380 0.7889 0.4760  7 W 2.59-2.70, 2 As 2.60
W: 0.9816 0.9427 0.9631  3 Cu 2.59-2.64, 4 As 2.66-2.70, 1 W 2.86
W: 0.7689 0.3016 0.5378  3 As 2.58-2.67, 4 Cu 2.65-2.70, 1 W 2.86

Computed properties:
**Calculated density**: 14.71 g/cm³
**Total moment**: 0.00 μB/cell
**Formation energy**: 0.412 eV/atom
**Space-group type**: No. 8



| no. | raw total energy (eV/cell) |
| --- | --- |
| 1 | -121.43 |
| 2 | -222.01 |
| 3 | -173.12 |